DFT (PBE) results for a relaxed structure of Cs2S2Cl.

Cell lengths 6.5387, 6.5387, 9.2255 Å; angles 90.00, 90.00, 90.00 degrees
Space group I4/mmm (No. 139)
Inequivalent atoms, fractional coordinates:
Cs 0.0000 0.5000 0.2500 x4
S 0.0000 0.0000 0.1085 x4
Cl 0.0000 0.0000 0.5000 x2

- DOS(E_F) (states/eV per atom) = 0.951
- relative energy among the computed polymorphs (eV per atom) = 0.1069
- DFT total energy (eV per cell) = -34.0
- formation energy without anion corrections (eV/f.u.) = -5.2



DFT (PBE) results for a relaxed structure of CsS5Cl.

Cell lengths 9.3118, 17.2676, 7.5373 Å; angles 90.00, 123.60, 90.00 degrees
Space group C2/c (No. 15)
Inequivalent atoms, fractional coordinates:
Cs 0.0000 0.0000 0.0000 x4
S 0.0000 0.3874 0.2500 x4
S 0.1106 0.3140 0.1287 x8
S 0.1167 0.3827 0.9181 x8
Cl 0.0000 0.1495 0.2500 x4

- DFT total energy (eV per cell) = -101.8
- formation energy without anion corrections (eV/f.u.) = -2.1



DFT (PBE) results for a relaxed structure of Cs3S2Cl.

Cell lengths 8.7129, 8.7129, 7.6280 Å; angles 90.00, 90.00, 120.00 degrees
Space group P6_3/mmc (No. 194)
Inequivalent atoms, fractional coordinates:
Cs 0.1807 0.3615 0.2500 x6
S 0.3333 0.6667 0.6103 x4
Cl 0.0000 0.0000 0.0000 x2

- DFT total energy (eV per cell) = -38.9
- formation energy without anion corrections (eV/f.u.) = -6.8



DFT (PBE) results for a relaxed structure of CsS6Cl.

Cell lengths 14.9557, 7.5501, 6.4896 Å; angles 90.00, 107.15, 90.00 degrees
Space group C2/m (No. 12)
Inequivalent atoms, fractional coordinates:
Cs 0.0000 0.0000 0.0000 x2
S 0.1997 0.2208 0.8458 x8
S 0.2432 0.5000 0.2460 x4
Cl 0.0000 0.0000 0.5000 x2

- DOS(E_F) (states/eV per atom) = 0.000
- DFT total energy (eV per cell) = -60.6
- formation energy without anion corrections (eV/f.u.) = -2.9



DFT (PBE) results for a relaxed structure of Cs6SCl2.

Cell lengths 8.8103, 8.7309, 17.1312 Å; angles 90.00, 120.93, 90.00 degrees
Space group P2_1/c (No. 14)
Inequivalent atoms, fractional coordinates:
Cs 0.9996 0.2259 0.1619 x4
Cs 0.3239 0.7266 0.6616 x4
Cs 0.3279 0.2036 0.0002 x4
S 0.0000 0.0000 0.0000 x2
Cl 0.3169 0.0007 0.8170 x4

- DOS(E_F) (states/eV per atom) = 0.337
- DFT total energy (eV per cell) = -46.9
- formation energy without anion corrections (eV/f.u.) = -10.5



DFT (PBE) results for a relaxed structure of CsSCl6.

Cell lengths 6.8961, 6.8961, 18.2812 Å; angles 90.00, 90.00, 120.00 degrees
Space group R-3m (No. 166, hexagonal axes)
Inequivalent atoms, fractional coordinates:
Cs 0.0000 0.0000 0.0000 x3
S 0.0000 0.0000 0.5000 x3
Cl 0.0252 0.5126 0.0959 x18

- DOS(E_F) (states/eV per atom) = 0.763
- DFT total energy (eV per cell) = -60.3
- formation energy without anion corrections (eV/f.u.) = -4.1



DFT (PBE) results for a relaxed structure of CsSb2SCl.

Cell lengths 5.1639, 5.1639, 7.7048 Å; angles 90.00, 90.00, 90.00 degrees
Space group P4/mmm (No. 123)
Inequivalent atoms, fractional coordinates:
Cs 0.0000 0.0000 0.0000 x1
Sb 0.0000 0.5000 0.5000 x2
S 0.0000 0.0000 0.5000 x1
Cl 0.5000 0.5000 0.0000 x1

- DOS(E_F) (states/eV per atom) = 0.691
- DFT total energy (eV per cell) = -16.3
- formation energy without anion corrections (eV/f.u.) = -1.2



DFT (PBE) results for a relaxed structure of Cs2SbSCl6.

Cell lengths 7.2954, 7.2954, 12.4869 Å; angles 90.00, 90.00, 90.00 degrees
Space group I4/mmm (No. 139)
Inequivalent atoms, fractional coordinates:
Cs 0.0000 0.5000 0.2500 x4
Sb 0.0000 0.0000 0.0000 x2
S 0.0000 0.0000 0.5000 x2
Cl 0.0000 0.0000 0.2103 x4
Cl 0.2441 0.2441 0.5000 x8

- DOS(E_F) (states/eV per atom) = 0.249
- DFT total energy (eV per cell) = -62.8
- formation energy without anion corrections (eV/f.u.) = -10.4



DFT (PBE) results for a relaxed structure of Cs2ScSCl6.

Cell lengths 7.2207, 7.2207, 12.2853 Å; angles 90.00, 90.00, 90.00 degrees
Space group I4/mmm (No. 139)
Inequivalent atoms, fractional coordinates:
Cs 0.0000 0.5000 0.2500 x4
Sc 0.0000 0.0000 0.0000 x2
S 0.0000 0.0000 0.5000 x2
Cl 0.0000 0.0000 0.2010 x4
Cl 0.2479 0.2479 0.0000 x8

- DOS(E_F) (states/eV per atom) = 0.276
- DFT total energy (eV per cell) = -75.7
- formation energy without anion corrections (eV/f.u.) = -14.6



DFT (PBE) results for a relaxed structure of Cs2SeSCl6.

Cell lengths 7.6041, 7.6041, 10.3435 Å; angles 90.00, 90.00, 90.00 degrees
Space group I4/mmm (No. 139)
Inequivalent atoms, fractional coordinates:
Cs 0.0000 0.5000 0.2500 x4
Se 0.0000 0.0000 0.0000 x2
S 0.0000 0.0000 0.5000 x2
Cl 0.0000 0.0000 0.2727 x4
Cl 0.2309 0.2309 0.0000 x8

- DOS(E_F) (states/eV per atom) = 0.448
- DFT total energy (eV per cell) = -57.5
- formation energy without anion corrections (eV/f.u.) = -8.4



Question: Among the records above, which one has the highest formation energy without anion corrections?
Answer: CsSb2SCl



Please write out number 5 again, unchanged.
DFT (PBE) results for a relaxed structure of Cs6SCl2.

Cell lengths 8.8103, 8.7309, 17.1312 Å; angles 90.00, 120.93, 90.00 degrees
Space group P2_1/c (No. 14)
Inequivalent atoms, fractional coordinates:
Cs 0.9996 0.2259 0.1619 x4
Cs 0.3239 0.7266 0.6616 x4
Cs 0.3279 0.2036 0.0002 x4
S 0.0000 0.0000 0.0000 x2
Cl 0.3169 0.0007 0.8170 x4

- DOS(E_F) (states/eV per atom) = 0.337
- DFT total energy (eV per cell) = -46.9
- formation energy without anion corrections (eV/f.u.) = -10.5



Question: Which formula does entry 8 have?
Answer: Cs2SbSCl6



Question: DFT total energy of number 1 (Cs2S2Cl)?
Answer: -34.0 eV per cell